Density functional theory data (GGA-PBE) for an optimized crystal structure of LiVCd.

Computed properties:
- DOS at the Fermi energy (states/eV/atom) = 0.82
- theoretical density (g/cm3) = 5.0
- VASP energy (hartree per atom) = -0.128
- volume (Å³ per atom) = 19.0
- crystal system = hexagonal
- formation energy from the elements (eV per atom) = 0.488
- ΔE to the lowest computed polymorph (eV per atom) = 0.3561

a b c (Å): 4.849 4.849 2.804
angles (deg): 90.00 90.00 120.00
Each line ends with the local moment (μB).
Sites, in units of the cell vectors:
Cd 0.000 0.000 0.000  0.02
Li 0.667 0.333 0.500  -0.01
V 0.333 0.667 0.000  2.69

***

Density functional theory data (GGA-PBE) for an optimized crystal structure of Mg2BeIn.

Computed properties:
- DOS at the Fermi energy (states/eV/atom) = 0.49
- theoretical density (g/cm3) = 3.2
- VASP energy (hartree per atom) = -0.074
- volume (Å³ per atom) = 22.1
- crystal system = tetragonal
- formation energy from the elements (eV per atom) = 0.410
- ΔE to the lowest computed polymorph (eV per atom) = 0.2371

a b c (Å): 8.239 8.239 6.380
angles (deg): 49.78 49.78 90.00
Sites, in units of the cell vectors:
Be 0.500 0.500 0.000
Be 0.250 0.750 0.500
Mg 0.540 0.125 0.250
Mg 0.210 0.625 0.250
Mg 0.375 0.460 0.750
Mg 0.875 0.790 0.750
In 0.000 0.000 0.000
In 0.750 0.250 0.500

***

Density functional theory data (GGA-PBE) for an optimized crystal structure of Hg2WAu.

Computed properties:
- DOS at the Fermi energy (states/eV/atom) = 0.69
- theoretical density (g/cm3) = 16.7
- VASP energy (hartree per atom) = -0.129
- volume (Å³ per atom) = 19.5
- crystal system = orthorhombic
- formation energy from the elements (eV per atom) = 0.686
- ΔE to the lowest computed polymorph (eV per atom) = 0.2007

a b c (Å): 5.906 5.906 5.906
angles (deg): 151.57 126.88 61.35
Each line ends with the local moment (μB).
Sites, in units of the cell vectors:
Au 0.250 0.750 0.500  0.02
Hg 0.997 0.997 0.000  0.00
Hg 0.503 0.503 0.000  0.00
W 0.750 0.250 0.500  0.57

***

Density functional theory data (GGA-PBE) for an optimized crystal structure of Mn2ZnTcN.

Computed properties:
- DOS at the Fermi energy (states/eV/atom) = 0.73
- ΔE_f (raw) (eV/atom) = -0.1367
- theoretical density (g/cm3) = 7.7
- VASP energy (hartree per atom) = -0.287
- volume (Å³ per atom) = 12.4
- crystal system = tetragonal

a b c (Å): 3.927 3.927 4.028
angles (deg): 90.00 90.00 90.00
Each line ends with the local moment (μB).
Sites, in units of the cell vectors:
Zn 0.500 0.500 0.500  -0.04
Mn 0.000 0.500 0.000  2.98
Mn 0.500 0.000 0.000  2.98
Tc 0.000 0.000 0.500  -0.15
N 0.000 0.000 0.000  -0.09

***

Density functional theory data (GGA-PBE) for an optimized crystal structure of YMg14Co.

Computed properties:
- DOS at the Fermi energy (states/eV/atom) = 0.64
- theoretical density (g/cm3) = 2.3
- VASP energy (hartree per atom) = -0.080
- volume (Å³ per atom) = 22.5
- crystal system = hexagonal
- formation energy from the elements (eV per atom) = 0.062
- ΔE to the lowest computed polymorph (eV per atom) = 0.0222

a b c (Å): 6.404 6.404 10.133
angles (deg): 90.00 90.00 120.00
Each line ends with the local moment (μB).
Sites, in units of the cell vectors:
Y 0.000 0.000 0.000  0.16
Mg 0.014 0.507 0.000  0.00
Mg 0.990 0.495 0.500  0.00
Mg 0.493 0.986 0.000  0.00
Mg 0.505 0.010 0.500  0.00
Mg 0.493 0.507 0.000  0.00
Mg 0.505 0.495 0.500  0.00
Mg 0.161 0.839 0.269  0.00
Mg 0.161 0.839 0.731  0.00
Mg 0.161 0.321 0.269  0.00
Mg 0.161 0.321 0.731  0.00
Mg 0.679 0.839 0.269  0.00
Mg 0.679 0.839 0.731  0.00
Mg 0.667 0.333 0.237  0.00
Mg 0.667 0.333 0.763  0.00
Co 0.000 0.000 0.500  1.44

***

Density functional theory data (GGA-PBE) for an optimized crystal structure of Sc2CrP.

Computed properties:
- DOS at the Fermi energy (states/eV/atom) = 1.01
- theoretical density (g/cm3) = 4.2
- VASP energy (hartree per atom) = -0.265
- volume (Å³ per atom) = 16.9
- crystal system = tetragonal
- formation energy from the elements (eV per atom) = -0.276

a b c (Å): 5.043 5.043 5.043
angles (deg): 132.81 132.81 68.96
Each line ends with the local moment (μB).
Sites, in units of the cell vectors:
Sc 0.750 0.750 0.000  -0.20
Sc 0.250 0.250 0.000  -0.20
Cr 0.000 0.500 0.500  2.95
P 0.500 0.000 0.500  -0.02

***

Number 1 is which compound? LiVCd

***

Look up the theoretical density of the second one. 3.2 g/cm3